The following is a DFT calculation (PBE-GGA) of a relaxed La2TbSnPb6 crystal.

Computed properties:
As for the total energy: -45.32 eV per cell.

abc: 13.3241 13.3241 4.7913
angles: 90.00 90.00 159.64
Element x y z (fractional)
La 0.3144 0.6856 0.5000
La 0.6856 0.3144 0.5000
Tb 0.5000 0.5000 0.5000
Pb 0.5933 0.4067 0.0000
Pb 0.7926 0.2074 0.0000
Pb 0.4067 0.5933 0.0000
Pb 0.9076 0.0924 0.5000
Pb 0.0924 0.9076 0.5000
Pb 0.2074 0.7926 0.0000
Sn 0.0000 0.0000 0.0000

=====

The following is a DFT calculation (PBE-GGA) of a relaxed LaTbZn2Pb2 crystal.

Computed properties:
The value obtained for the energy above the most stable polymorph in this dataset is 39 meV/atom.

abc: 4.6802 4.6802 16.4207
angles: 90.00 90.00 120.00
Element x y z (fractional)
Tb 0.0000 0.0000 0.0000
Tb 0.0000 0.0000 0.5000
Pb 0.6667 0.3333 0.6071
Pb 0.3333 0.6667 0.3929
Pb 0.3333 0.6667 0.1071
Pb 0.6667 0.3333 0.8929
Zn 0.3333 0.6667 0.6585
Zn 0.6667 0.3333 0.1585
Zn 0.3333 0.6667 0.8415
Zn 0.6667 0.3333 0.3415
La 0.0000 0.0000 0.2500
La 0.0000 0.0000 0.7500

=====

The following is a DFT calculation (PBE-GGA) of a relaxed LaTbZn2Pb2 crystal.

Computed properties:
The value obtained for the energy above the most stable polymorph in this dataset is 0 meV/atom.

abc: 4.6508 4.6508 16.6858
angles: 90.00 90.00 120.00
Element x y z (fractional)
La 0.0000 0.0000 0.5000
La 0.0000 0.0000 0.0000
Tb 0.0000 0.0000 0.2500
Tb 0.0000 0.0000 0.7500
Pb 0.3333 0.6667 0.3838
Pb 0.6667 0.3333 0.6162
Pb 0.6667 0.3333 0.8838
Pb 0.3333 0.6667 0.1162
Zn 0.6667 0.3333 0.3320
Zn 0.3333 0.6667 0.8320
Zn 0.3333 0.6667 0.6680
Zn 0.6667 0.3333 0.1680

=====

The following is a DFT calculation (PBE-GGA) of a relaxed LaTmTe3Pb crystal.

Computed properties:
As for the total energy: -56.23 eV per cell.

abc: 8.0093 8.0093 12.2742
angles: 90.00 90.00 146.96
Site moments in Bohr magnetons follow the coordinates.
Element x y z (fractional)
Te 0.5982 0.4018 0.7500  -0.01
Te 0.4018 0.5982 0.2500  -0.01
Te 0.8562 0.1438 0.5569  0.00
Te 0.1438 0.8562 0.0569  0.00
Te 0.1438 0.8562 0.4431  0.00
Te 0.8562 0.1438 0.9431  0.00
La 0.5000 0.5000 0.0000  0.09
La 0.5000 0.5000 0.5000  0.09
Tm 0.9745 0.0255 0.7500  0.12
Tm 0.0255 0.9745 0.2500  0.12
Pb 0.3043 0.6957 0.7500  0.01
Pb 0.6957 0.3043 0.2500  0.01

=====

The following is a DFT calculation (PBE-GGA) of a relaxed LaZnTe3Pb crystal.

Computed properties:
As for the total energy: -47.52 eV per cell.

abc: 7.6977 7.6977 11.7272
angles: 90.00 90.00 146.12
Element x y z (fractional)
Te 0.8521 0.1479 0.0669
Te 0.4097 0.5903 0.7500
Te 0.5903 0.4097 0.2500
Te 0.8521 0.1479 0.4331
Te 0.1479 0.8521 0.5669
Te 0.1479 0.8521 0.9331
Pb 0.2841 0.7159 0.2500
Pb 0.7159 0.2841 0.7500
La 0.5000 0.5000 0.0000
La 0.5000 0.5000 0.5000
Zn 0.0266 0.9734 0.7500
Zn 0.9734 0.0266 0.2500

=====

The following is a DFT calculation (PBE-GGA) of a relaxed La3Tm2Pb3 crystal.

Computed properties:
As for the total energy: -78.17 eV per cell.

abc: 9.3689 9.3689 6.7524
angles: 90.00 90.00 120.00
Element x y z (fractional)
Pb 0.3985 0.0000 0.2500
Pb 0.6015 0.0000 0.7500
Pb 0.0000 0.6015 0.7500
Pb 0.0000 0.3985 0.2500
Pb 0.6015 0.6015 0.2500
Pb 0.3985 0.3985 0.7500
Tm 0.6667 0.3333 0.0000
Tm 0.6667 0.3333 0.5000
Tm 0.3333 0.6667 0.0000
Tm 0.3333 0.6667 0.5000
La 0.7564 0.0000 0.2500
La 0.0000 0.7564 0.2500
La 0.2436 0.2436 0.2500
La 0.7564 0.7564 0.7500
La 0.2436 0.0000 0.7500
La 0.0000 0.2436 0.7500